VASP calculation (PBE) on a geometry-optimized TbBiO structure.

The structure in extended XYZ format:
```
6
Lattice="3.822 0.000 0.000 -1.911 3.310 0.000 0.000 0.000 10.843" Properties=species:S:1:pos:R:3 pbc="T T T"
Tb 1.911 1.103 1.458
Tb 0.000 2.207 9.385
O 1.911 1.103 9.964
O 0.000 2.207 0.879
Bi 0.000 2.207 4.220
Bi 1.911 1.103 6.623
```

Values from the calculation:
The final energy comes out at -6.406 eV per atom. As for the symmetry: P-3m1, No. 164. As for the density of states at the Fermi level: 2.136 states/eV/cell.